Entry from the Alexandria database: a PBEsol-optimized structure of NaPbIN2 (SCAN).

Lattice parameters (Å, degrees): 4.403 4.403 6.623 90.00 90.00 90.00
Atoms (fractional coordinates):
N 0.500 0.000 0.000
Na 0.500 0.500 0.500
I 0.000 0.000 0.500
N 0.000 0.500 0.000
Pb 0.000 0.000 0.000

Results
ρ, g/cm3: 5.0
E_tot, Ry/atom: -1.918
E_form (uncorrected), eV/atom: 0.973
Symmetry: P4/mmm (123)